Record 1
Entry from the Alexandria database: a relaxed structure of Sr2LaW (PBE).

a = 4.664 Å, b = 4.664 Å, c = 12.595 Å
α = 79.33°, β = 79.33°, γ = 90.00°
Atoms (fractional coordinates):
1 Sr 0.105 0.625 0.250
2 Sr 0.645 0.125 0.250
3 W 0.750 0.250 0.500
4 Sr 0.875 0.895 0.750
5 W 0.000 0.000 0.000
6 La 0.250 0.750 0.500
7 La 0.500 0.500 0.000
8 Sr 0.375 0.355 0.750

Formation energy from the elements (meV per atom): 1227
Volume (A^3/atom): 33.06
Fermi-level density of states (states/eV/atom): 1.42
Theoretical density (g/cm³): 6.254


Record 2
Entry from the Alexandria database: a relaxed structure of Sr2LaW (PBE).

a = 4.995 Å, b = 4.995 Å, c = 8.747 Å
α = 83.77°, β = 83.77°, γ = 42.96°
Atoms (fractional coordinates):
1 Sr 0.778 0.778 0.683
2 La 0.229 0.229 0.335
3 W 0.494 0.494 0.424
4 Sr 0.999 0.999 0.057

Formation energy from the elements (meV per atom): 814
Volume (A^3/atom): 36.92
Fermi-level density of states (states/eV/atom): 1.24
Theoretical density (g/cm³): 5.600


Record 3
Entry from the Alexandria database: a relaxed structure of Sr2LaW (PBE).

a = 7.340 Å, b = 6.511 Å, c = 3.316 Å
α = 89.85°, β = 63.45°, γ = 116.73°
Atoms (fractional coordinates):
1 Sr 0.500 0.000 0.500
2 W 0.000 0.500 0.500
3 Sr 0.000 0.000 0.000
4 La 0.500 0.500 0.000

Formation energy from the elements (meV per atom): 1093
Volume (A^3/atom): 30.60
Fermi-level density of states (states/eV/atom): 1.40
Theoretical density (g/cm³): 6.755


Record 4
Entry from the Alexandria database: a relaxed structure of Sr2LaW (PBE).

a = 5.669 Å, b = 5.669 Å, c = 5.669 Å
α = 120.03°, β = 120.03°, γ = 89.95°
Atoms (fractional coordinates):
1 La 0.750 0.250 0.500
2 Sr 0.250 0.750 0.500
3 W 0.500 0.500 0.000
4 Sr 0.000 0.000 0.000

Formation energy from the elements (meV per atom): 956
Volume (A^3/atom): 32.19
Fermi-level density of states (states/eV/atom): 1.35
Theoretical density (g/cm³): 6.422


Record 5
Entry from the Alexandria database: a relaxed structure of Sr2LaW (PBE).

a = 7.241 Å, b = 7.241 Å, c = 7.241 Å
α = 151.07°, β = 129.49°, γ = 59.26°
Atoms (fractional coordinates):
1 Sr 0.696 0.196 0.500
2 Sr 0.006 0.006 0.000
3 W 0.480 0.480 0.000
4 La 0.319 0.819 0.500

Formation energy from the elements (meV per atom): 778
Volume (A^3/atom): 35.17
Fermi-level density of states (states/eV/atom): 1.04
Theoretical density (g/cm³): 5.879


Record 6
Entry from the Alexandria database: a relaxed structure of Sr3LaW (PBE).

a = 5.936 Å, b = 5.936 Å, c = 5.936 Å
α = 90.00°, β = 90.00°, γ = 90.00°
Atoms (fractional coordinates):
1 W 0.500 0.500 0.500
2 Sr 0.000 0.500 0.000
3 Sr 0.500 0.000 0.000
4 Sr 0.000 0.000 0.500
5 La 0.000 0.000 0.000

Formation energy from the elements (meV per atom): 2126
Volume (A^3/atom): 41.83
Fermi-level density of states (states/eV/atom): 1.19
Theoretical density (g/cm³): 4.649


Record 7
Entry from the Alexandria database: a relaxed structure of Sr4LaW (PBE).

a = 7.058 Å, b = 7.058 Å, c = 7.058 Å
α = 60.00°, β = 60.00°, γ = 60.00°
Atoms (fractional coordinates):
1 La 0.000 0.000 0.000
2 Sr 0.874 0.375 0.375
3 Sr 0.375 0.874 0.375
4 Sr 0.375 0.375 0.375
5 W 0.750 0.750 0.750
6 Sr 0.375 0.375 0.874

Formation energy from the elements (meV per atom): 1222
Volume (A^3/atom): 41.44
Fermi-level density of states (states/eV/atom): 1.51
Theoretical density (g/cm³): 4.496


Record 8
Entry from the Alexandria database: a relaxed structure of Sr2La2W (PBE).

a = 7.550 Å, b = 7.550 Å, c = 6.555 Å
α = 90.00°, β = 90.00°, γ = 90.00°
Atoms (fractional coordinates):
1 La 0.327 0.827 0.000
2 Sr 0.312 0.188 0.500
3 W 0.000 0.000 0.000
4 Sr 0.688 0.812 0.500
5 La 0.673 0.173 0.000
6 La 0.827 0.673 0.000
7 Sr 0.812 0.312 0.500
8 La 0.173 0.327 0.000
9 W 0.500 0.500 0.000
10 Sr 0.188 0.688 0.500

Formation energy from the elements (meV per atom): 633
Volume (A^3/atom): 37.37
Fermi-level density of states (states/eV/atom): 0.85
Theoretical density (g/cm³): 5.660